# 1
# YBi3As

Crystalline YBi3As at its relaxed geometry (GGA-PBE, the Alexandria database).

a = 5.841 Å, b = 5.841 Å, c = 5.841 Å
α = 90.00°, β = 90.00°, γ = 90.00°
Fractional positions:
Y (0.000, 0.000, 0.000)
Bi (0.000, 0.000, 0.500)
Bi (0.000, 0.500, 0.000)
Bi (0.500, 0.000, 0.000)
As (0.500, 0.500, 0.500)

## Properties
ΔH_f (0 K) = 0.6892 eV per atom

***

# 2
# MgAl2P

Crystalline MgAl2P at its relaxed geometry (GGA-PBE, the Alexandria database).

a = 3.220 Å, b = 3.220 Å, c = 6.777 Å
α = 90.00°, β = 90.00°, γ = 90.00°
Fractional positions:
Mg (0.000, 0.000, 0.000)
Al (0.500, 0.500, 0.300)
Al (0.500, 0.500, 0.700)
P (0.000, 0.000, 0.500)

## Properties
ΔH_f (0 K) = 0.0095 eV per atom

***

# 3
# In4Sn2Hg5

Crystalline In4Sn2Hg5 at its relaxed geometry (GGA-PBE, the Alexandria database).

a = 9.229 Å, b = 3.193 Å, c = 10.813 Å
α = 90.00°, β = 107.73°, γ = 90.00°
Fractional positions:
In (0.084, 0.000, 0.322)
In (0.395, 0.000, 0.854)
In (0.605, 0.000, 0.146)
In (0.916, 0.000, 0.678)
Sn (0.129, 0.500, 0.938)
Sn (0.871, 0.500, 0.062)
Hg (0.204, 0.500, 0.597)
Hg (0.331, 0.500, 0.213)
Hg (0.500, 0.500, 0.500)
Hg (0.669, 0.500, 0.787)
Hg (0.796, 0.500, 0.403)

## Properties
ΔH_f (0 K) = 0.0258 eV per atom

***

# 4
# LiU3N4

Crystalline LiU3N4 at its relaxed geometry (GGA-PBE, the Alexandria database).

a = 4.758 Å, b = 4.758 Å, c = 4.758 Å
α = 90.00°, β = 90.00°, γ = 90.00°
Fractional positions:
Li (0.000, 0.000, 0.000)
U (0.000, 0.500, 0.500)
U (0.500, 0.000, 0.500)
U (0.500, 0.500, 0.000)
N (0.000, 0.000, 0.500)
N (0.000, 0.500, 0.000)
N (0.500, 0.000, 0.000)
N (0.500, 0.500, 0.500)

## Properties
Energy relative to the elements, uncorrected = -1.157 eV per atom

***

Record order is preserved below.
Calculated volume: 39.9; 17.6; 27.6; 13.5 Å³ per atom
Record order is preserved below.
Spin magnetization: 0.0; 0.0; 0.0; 4.8 μB/f.u.